Entry 1:
VASP calculation (PBE) on a relaxed PrAl2Au5 crystal.

Cell and atoms, written as CIF:
```
data_PrAl2Au5
_chemical_formula_sum 'Pr2 Al4 Au10'
_space_group_name_H-M_alt 'I m m m'
_space_group_IT_number 71
_space_group_name_Hall '-I 2 2'
_cell_length_a 4.152
_cell_length_b 7.245
_cell_length_c 10.739
_cell_angle_alpha 90.00
_cell_angle_beta 90.00
_cell_angle_gamma 90.00
loop_
_atom_site_label
_atom_site_type_symbol
_atom_site_fract_x
_atom_site_fract_y
_atom_site_fract_z
Pr1 Pr 0.000 0.000 0.000
Al1 Al 0.000 0.500 0.241
Au1 Au 0.000 0.205 0.361
Au2 Au 0.000 0.500 0.000
```

volume	20.19	Å³ per atom
theoretical density	12.13	g/cm³
formation energy from the elements	-0.51	eV/atom
total energy	-32.8	eV/f.u.


Entry 2:
VASP calculation (PBE) on a relaxed ZnAsPb2 crystal.

Cell and atoms, written as CIF:
```
data_ZnAsPb2
_chemical_formula_sum 'Zn2 As2 Pb4'
_space_group_name_H-M_alt 'C m m 2'
_space_group_IT_number 35
_cell_length_a 4.130
_cell_length_b 5.447
_cell_length_c 8.981
_cell_angle_alpha 90.00
_cell_angle_beta 90.00
_cell_angle_gamma 90.00
loop_
_space_group_symop_operation_xyz
'x,y,z'
'-x,-y,z'
'-x,y,z'
'x,-y,z'
'x+1/2,y+1/2,z'
'-x+1/2,-y+1/2,z'
'-x+1/2,y+1/2,z'
'x+1/2,-y+1/2,z'
loop_
_atom_site_label
_atom_site_type_symbol
_atom_site_fract_x
_atom_site_fract_y
_atom_site_fract_z
Zn1 Zn 0.000 0.000 0.000
As1 As 0.000 0.500 0.837
Pb1 Pb 0.000 0.000 0.567
Pb2 Pb 0.000 0.500 0.247
```

energy above the lowest structure with this stoichiometry	123	meV per atom
volume	25.25	Å³ per atom
theoretical density	9.12	g/cm³
formation energy from the elements	0.15	eV/atom
total energy	-12.7	eV/f.u.


Entry 3:
VASP calculation (PBE) on a relaxed Sc2ReRu crystal.

Cell and atoms, written as CIF:
```
data_Sc2ReRu
_chemical_formula_sum 'Sc2 Re1 Ru1'
_space_group_name_H-M_alt 'P m m 2'
_space_group_IT_number 25
_cell_length_a 2.951
_cell_length_b 4.348
_cell_length_c 5.390
_cell_angle_alpha 90.00
_cell_angle_beta 90.00
_cell_angle_gamma 90.00
loop_
_space_group_symop_operation_xyz
'x,y,z'
'-x,-y,z'
'-x,y,z'
'x,-y,z'
loop_
_atom_site_label
_atom_site_type_symbol
_atom_site_fract_x
_atom_site_fract_y
_atom_site_fract_z
Sc1 Sc 0.000 0.000 0.000
Sc2 Sc 0.500 0.500 0.286
Re1 Re 0.000 0.000 0.522
Ru1 Ru 0.500 0.500 0.755
```

volume	17.29	Å³ per atom
theoretical density	9.06	g/cm³
formation energy from the elements	0.03	eV/atom
total energy	-34.3	eV/f.u.


Entry 4:
VASP calculation (PBE) on a relaxed Nd4PuAs5 crystal.

Cell and atoms, written as CIF:
```
data_Nd4PuAs5
_chemical_formula_sum 'Nd8 Pu2 As10'
_space_group_name_H-M_alt 'I 4/m m m'
_space_group_IT_number 139
_space_group_name_Hall '-I 4 2'
_cell_length_a 4.249
_cell_length_b 4.249
_cell_length_c 29.996
_cell_angle_alpha 90.00
_cell_angle_beta 90.00
_cell_angle_gamma 90.00
loop_
_atom_site_label
_atom_site_type_symbol
_atom_site_fract_x
_atom_site_fract_y
_atom_site_fract_z
Nd1 Nd 0.000 0.000 0.100
Nd2 Nd 0.000 0.000 0.300
Pu1 Pu 0.000 0.000 0.500
As1 As 0.000 0.000 0.000
As2 As 0.000 0.000 0.200
As3 As 0.000 0.000 0.402
```

volume	27.08	Å³ per atom
theoretical density	7.33	g/cm³
formation energy from the elements	-1.40	eV/atom
total energy	-70.7	eV/f.u.


Entry 5:
VASP calculation (PBE) on a relaxed SrPm2Pb crystal.

Cell and atoms, written as CIF:
```
data_SrPm2Pb
_chemical_formula_sum 'Sr1 Pm2 Pb1'
_space_group_name_H-M_alt 'P 4/m m m'
_space_group_IT_number 123
_space_group_name_Hall '-P 4 2'
_cell_length_a 5.098
_cell_length_b 5.098
_cell_length_c 5.083
_cell_angle_alpha 90.00
_cell_angle_beta 90.00
_cell_angle_gamma 90.00
loop_
_atom_site_label
_atom_site_type_symbol
_atom_site_fract_x
_atom_site_fract_y
_atom_site_fract_z
Sr1 Sr 0.000 0.000 0.000
Pm1 Pm 0.000 0.500 0.500
Pb1 Pb 0.500 0.500 0.000
```

energy above the lowest structure with this stoichiometry	0	meV per atom
volume	33.03	Å³ per atom
theoretical density	7.35	g/cm³
formation energy from the elements	-0.22	eV/atom
total energy	-15.8	eV/f.u.


Entry 6:
VASP calculation (PBE) on a relaxed SmAl4Ag crystal.

Cell and atoms, written as CIF:
```
data_SmAl4Ag
_chemical_formula_sum 'Sm4 Al16 Ag4'
_space_group_name_H-M_alt 'C 1 2/m 1'
_space_group_IT_number 12
_cell_length_a 10.311
_cell_length_b 6.963
_cell_length_c 7.157
_cell_angle_alpha 90.00
_cell_angle_beta 111.09
_cell_angle_gamma 90.00
loop_
_space_group_symop_operation_xyz
'x,y,z'
'-x,-y,-z'
'-x,y,-z'
'x,-y,z'
'x+1/2,y+1/2,z'
'-x+1/2,-y+1/2,-z'
'-x+1/2,y+1/2,-z'
'x+1/2,-y+1/2,z'
loop_
_atom_site_label
_atom_site_type_symbol
_atom_site_fract_x
_atom_site_fract_y
_atom_site_fract_z
Sm1 Sm 0.159 0.000 0.276
Al1 Al 0.000 0.285 0.500
Al2 Al 0.114 0.307 0.940
Al3 Al 0.158 0.000 0.752
Ag1 Ag 0.110 0.500 0.296
```

energy above the lowest structure with this stoichiometry	0	meV per atom
volume	19.98	Å³ per atom
theoretical density	5.07	g/cm³
formation energy from the elements	-0.24	eV/atom
total energy	-24.0	eV/f.u.


Entry 7:
VASP calculation (PBE) on a relaxed CrHgAs2 crystal.

Cell and atoms, written as CIF:
```
data_CrHgAs2
_chemical_formula_sum 'Cr4 Hg4 As8'
_space_group_name_H-M_alt 'I -4 2 d'
_space_group_IT_number 122
_space_group_name_Hall 'I -4 2bw'
_cell_length_a 5.828
_cell_length_b 5.828
_cell_length_c 11.860
_cell_angle_alpha 90.00
_cell_angle_beta 90.00
_cell_angle_gamma 90.00
loop_
_atom_site_label
_atom_site_type_symbol
_atom_site_fract_x
_atom_site_fract_y
_atom_site_fract_z
Cr1 Cr 0.000 0.000 0.000
Hg1 Hg 0.000 0.000 0.500
As1 As 0.196 0.250 0.125
```

volume	25.18	Å³ per atom
theoretical density	6.64	g/cm³
formation energy from the elements	0.23	eV/atom
total energy	-18.3	eV/f.u.


Entry 8:
VASP calculation (PBE) on a relaxed PdPtCl2 crystal.

Cell and atoms, written as CIF:
```
data_PdPtCl2
_chemical_formula_sum 'Pd3 Pt3 Cl6'
_space_group_name_H-M_alt 'R -3 m'
_space_group_IT_number 166
_space_group_name_Hall '-R 3 2"'
_cell_length_a 3.3269
_cell_length_b 3.3269
_cell_length_c 24.1479
_cell_angle_alpha 90.00
_cell_angle_beta 90.00
_cell_angle_gamma 120.00
loop_
_atom_site_label
_atom_site_type_symbol
_atom_site_fract_x
_atom_site_fract_y
_atom_site_fract_z
Pd1 Pd 0.0000 0.0000 0.0000
Pt1 Pt 0.0000 0.0000 0.5000
Cl1 Cl 0.0000 0.0000 0.4056
```

energy above the lowest structure with this stoichiometry	0	meV per atom
volume	19.29	Å³ per atom
theoretical density	8.02	g/cm³
total energy	-14.2	eV/f.u.
formation energy without anion corrections	0.1731	eV/atom


Entry 9:
VASP calculation (PBE) on a relaxed KBa2TlBi crystal.

Cell and atoms, written as CIF:
```
data_KBa2TlBi
_chemical_formula_sum 'K1 Ba2 Tl1 Bi1'
_space_group_name_H-M_alt 'P 4/m m m'
_space_group_IT_number 123
_space_group_name_Hall '-P 4 2'
_cell_length_a 6.578
_cell_length_b 6.578
_cell_length_c 5.790
_cell_angle_alpha 90.00
_cell_angle_beta 90.00
_cell_angle_gamma 90.00
loop_
_atom_site_label
_atom_site_type_symbol
_atom_site_fract_x
_atom_site_fract_y
_atom_site_fract_z
K1 K 0.000 0.000 0.000
Ba1 Ba 0.000 0.500 0.000
Tl1 Tl 0.000 0.000 0.500
Bi1 Bi 0.500 0.500 0.500
```

volume	50.11	Å³ per atom
theoretical density	4.82	g/cm³
formation energy from the elements	0.40	eV/atom
total energy	-9.2	eV/f.u.


Entry 10:
VASP calculation (PBE) on a relaxed CeTh2Ag6 crystal.

Cell and atoms, written as CIF:
```
data_CeTh2Ag6
_chemical_formula_sum 'Ce1 Th2 Ag6'
_space_group_name_H-M_alt 'P 6/m m m'
_space_group_IT_number 191
_space_group_name_Hall '-P 6 2'
_cell_length_a 8.5012
_cell_length_b 8.5012
_cell_length_c 3.3291
_cell_angle_alpha 90.00
_cell_angle_beta 90.00
_cell_angle_gamma 120.00
loop_
_atom_site_label
_atom_site_type_symbol
_atom_site_fract_x
_atom_site_fract_y
_atom_site_fract_z
Ce1 Ce 0.0000 0.0000 0.0000
Th1 Th 0.3333 0.6667 0.0000
Ag1 Ag 0.0000 0.3327 0.5000
```

volume	23.15	Å³ per atom
theoretical density	9.97	g/cm³
formation energy from the elements	-0.15	eV/atom
total energy	-39.2	eV/f.u.


Entry 11:
VASP calculation (PBE) on a relaxed LiHf2CrP crystal.

Cell and atoms, written as CIF:
```
data_LiHf2CrP
_chemical_formula_sum 'Li1 Hf2 Cr1 P1'
_space_group_name_H-M_alt 'P 4/m m m'
_space_group_IT_number 123
_space_group_name_Hall '-P 4 2'
_cell_length_a 4.671
_cell_length_b 4.671
_cell_length_c 4.391
_cell_angle_alpha 90.00
_cell_angle_beta 90.00
_cell_angle_gamma 90.00
loop_
_atom_site_label
_atom_site_type_symbol
_atom_site_fract_x
_atom_site_fract_y
_atom_site_fract_z
Li1 Li 0.000 0.000 0.000
Hf1 Hf 0.000 0.500 0.500
Cr1 Cr 0.000 0.000 0.500
P1 P 0.500 0.500 0.000
```

volume	19.16	Å³ per atom
theoretical density	7.75	g/cm³
formation energy from the elements	0.74	eV/atom
total energy	-33.1	eV/f.u.


Entry 12:
VASP calculation (PBE) on a relaxed CrPbCl2 crystal.

Cell and atoms, written as CIF:
```
data_CrPbCl2
_chemical_formula_sum 'Cr2 Pb2 Cl4'
_space_group_name_H-M_alt 'C m m m'
_space_group_IT_number 65
_space_group_name_Hall '-C 2 2'
_cell_length_a 6.278
_cell_length_b 9.553
_cell_length_c 3.367
_cell_angle_alpha 90.00
_cell_angle_beta 90.00
_cell_angle_gamma 90.00
loop_
_atom_site_label
_atom_site_type_symbol
_atom_site_fract_x
_atom_site_fract_y
_atom_site_fract_z
Cr1 Cr 0.000 0.000 0.000
Pb1 Pb 0.000 0.500 0.000
Cl1 Cl 0.000 0.176 0.500
```

energy above the lowest structure with this stoichiometry	71	meV per atom
volume	25.24	Å³ per atom
theoretical density	5.43	g/cm³
total energy	-18.9	eV/f.u.
formation energy without anion corrections	-0.4574	eV/atom


Entry 13:
VASP calculation (PBE) on a relaxed NdTaSi2Ru crystal.

Cell and atoms, written as CIF:
```
data_NdTaSi2Ru
_chemical_formula_sum 'Nd2 Ta2 Si4 Ru2'
_space_group_name_H-M_alt 'I -4 m 2'
_space_group_IT_number 119
_space_group_name_Hall 'I -4 -2'
_cell_length_a 4.066
_cell_length_b 4.066
_cell_length_c 11.120
_cell_angle_alpha 90.00
_cell_angle_beta 90.00
_cell_angle_gamma 90.00
loop_
_atom_site_label
_atom_site_type_symbol
_atom_site_fract_x
_atom_site_fract_y
_atom_site_fract_z
Nd1 Nd 0.000 0.000 0.000
Ta1 Ta 0.000 0.500 0.250
Si1 Si 0.000 0.000 0.389
Ru1 Ru 0.000 0.500 0.750
```

volume	18.38	Å³ per atom
theoretical density	8.72	g/cm³
total energy	-40.0	eV/f.u.
formation energy without anion corrections	-0.6461	eV/atom


Entry 14:
VASP calculation (PBE) on a relaxed CsTlW3 crystal.

Cell and atoms, written as CIF:
```
data_CsTlW3
_chemical_formula_sum 'Cs1 Tl1 W3'
_space_group_name_H-M_alt 'P m -3 m'
_space_group_IT_number 221
_space_group_name_Hall '-P 4 2 3'
_cell_length_a 4.993
_cell_length_b 4.993
_cell_length_c 4.993
_cell_angle_alpha 90.00
_cell_angle_beta 90.00
_cell_angle_gamma 90.00
loop_
_atom_site_label
_atom_site_type_symbol
_atom_site_fract_x
_atom_site_fract_y
_atom_site_fract_z
Cs1 Cs 0.000 0.000 0.000
Tl1 Tl 0.500 0.500 0.500
W1 W 0.000 0.000 0.500
```

volume	24.90	Å³ per atom
theoretical density	11.86	g/cm³
formation energy from the elements	3.89	eV/atom
total energy	-22.6	eV/f.u.


Entry 15:
VASP calculation (PBE) on a relaxed Ca2BeCrN crystal.

Cell and atoms, written as CIF:
```
data_Ca2BeCrN
_chemical_formula_sum 'Ca2 Be1 Cr1 N1'
_space_group_name_H-M_alt 'P 4/m m m'
_space_group_IT_number 123
_space_group_name_Hall '-P 4 2'
_cell_length_a 5.660
_cell_length_b 5.660
_cell_length_c 3.622
_cell_angle_alpha 90.00
_cell_angle_beta 90.00
_cell_angle_gamma 90.00
loop_
_atom_site_label
_atom_site_type_symbol
_atom_site_fract_x
_atom_site_fract_y
_atom_site_fract_z
Ca1 Ca 0.000 0.500 0.000
Be1 Be 0.000 0.000 0.500
Cr1 Cr 0.500 0.500 0.000
N1 N 0.500 0.500 0.500
```

volume	23.21	Å³ per atom
theoretical density	2.22	g/cm³
total energy	-22.9	eV/f.u.
formation energy without anion corrections	0.5517	eV/atom


Entry 16:
VASP calculation (PBE) on a relaxed LaNbCr crystal.

Cell and atoms, written as CIF:
```
data_LaNbCr
_chemical_formula_sum 'La2 Nb2 Cr2'
_space_group_name_H-M_alt 'P 1'
_space_group_IT_number 1
_cell_length_a 4.746
_cell_length_b 4.822
_cell_length_c 6.145
_cell_angle_alpha 81.70
_cell_angle_beta 89.93
_cell_angle_gamma 89.86
loop_
_space_group_symop_operation_xyz
'x,y,z'
loop_
_atom_site_label
_atom_site_type_symbol
_atom_site_fract_x
_atom_site_fract_y
_atom_site_fract_z
La1 La 0.000 0.000 0.000
La2 La 0.500 0.490 0.793
Nb1 Nb 0.499 0.096 0.400
Nb2 Nb 0.999 0.846 0.513
Cr1 Cr 0.500 0.631 0.289
Cr2 Cr 0.999 0.417 0.337
```

energy above the lowest structure with this stoichiometry	67	meV per atom
volume	23.19	Å³ per atom
theoretical density	6.77	g/cm³
formation energy from the elements	0.43	eV/atom
total energy	-23.3	eV/f.u.


Entry 17:
VASP calculation (PBE) on a relaxed Nd5TmGa6 crystal.

Cell and atoms, written as CIF:
```
data_Nd5TmGa6
_chemical_formula_sum 'Nd10 Tm2 Ga12'
_space_group_name_H-M_alt 'C 1 2/m 1'
_space_group_IT_number 12
_cell_length_a 8.962
_cell_length_b 15.586
_cell_length_c 5.193
_cell_angle_alpha 90.00
_cell_angle_beta 125.35
_cell_angle_gamma 90.00
loop_
_space_group_symop_operation_xyz
'x,y,z'
'-x,-y,-z'
'-x,y,-z'
'x,-y,z'
'x+1/2,y+1/2,z'
'-x+1/2,-y+1/2,-z'
'-x+1/2,y+1/2,-z'
'x+1/2,-y+1/2,z'
loop_
_atom_site_label
_atom_site_type_symbol
_atom_site_fract_x
_atom_site_fract_y
_atom_site_fract_z
Nd1 Nd 0.000 0.000 0.000
Nd2 Nd 0.000 0.163 0.500
Nd3 Nd 0.000 0.327 0.000
Tm1 Tm 0.000 0.500 0.500
Ga1 Ga 0.232 0.500 0.232
Ga2 Ga 0.240 0.338 0.740
```

volume	24.65	Å³ per atom
theoretical density	7.35	g/cm³
formation energy from the elements	-0.55	eV/atom
total energy	-53.1	eV/f.u.